VASP calculation (PBE-GGA) on a geometry-optimized Cs4U3AgO12 structure.

Summary:
**Crystal system**: cubic
**DOS(E_F)**: 0.4451 states/eV/atom
**VASP energy**: -7.421 eV/atom
**Symmetry**: Im-3m

Cell lengths 7.7386, 7.7386, 7.7386 Å; angles 109.47, 109.47, 109.47 degrees
Atoms (fractional coordinates):
Cs 0.0000 0.0000 0.5000
Cs 0.0000 0.5000 0.0000
Cs 0.5000 0.0000 0.0000
Cs 0.5000 0.5000 0.5000
U 0.0000 0.5000 0.5000
U 0.5000 0.0000 0.5000
U 0.5000 0.5000 0.0000
Ag 0.0000 0.0000 0.0000
O 0.0000 0.2846 0.2846
O 0.0000 0.7154 0.7154
O 0.2500 0.5000 0.7500
O 0.2500 0.7500 0.5000
O 0.2846 0.0000 0.2846
O 0.2846 0.2846 0.0000
O 0.5000 0.2500 0.7500
O 0.5000 0.7500 0.2500
O 0.7154 0.0000 0.7154
O 0.7154 0.7154 0.0000
O 0.7500 0.2500 0.5000
O 0.7500 0.5000 0.2500

=====

VASP calculation (PBE-GGA) on a geometry-optimized Al2TlCl structure.

Summary:
**Crystal system**: cubic
**DOS(E_F)**: 0.3266 states/eV/atom
**VASP energy**: -2.752 eV/atom
**Symmetry**: Fm-3m
**Energy above the lowest structure with this stoichiometry**: 304 meV per atom

Cell lengths 7.1000, 7.1000, 7.1000 Å; angles 90.00, 90.00, 90.00 degrees
Atoms (fractional coordinates):
Al 0.2500 0.2500 0.2500
Al 0.2500 0.2500 0.7500
Al 0.2500 0.7500 0.2500
Al 0.2500 0.7500 0.7500
Al 0.7500 0.2500 0.2500
Al 0.7500 0.2500 0.7500
Al 0.7500 0.7500 0.2500
Al 0.7500 0.7500 0.7500
Tl 0.0000 0.0000 0.0000
Tl 0.0000 0.5000 0.5000
Tl 0.5000 0.0000 0.5000
Tl 0.5000 0.5000 0.0000
Cl 0.0000 0.0000 0.5000
Cl 0.0000 0.5000 0.0000
Cl 0.5000 0.0000 0.0000
Cl 0.5000 0.5000 0.5000

=====

VASP calculation (PBE-GGA) on a geometry-optimized PaNbCo2P2 structure.

Summary:
**Crystal system**: trigonal
**Energy relative to the elements**: -0.89 eV per atom
**DOS(E_F)**: 0.6818 states/eV/atom
**VASP energy**: -8.322 eV/atom
**Symmetry**: P-3m1

Cell lengths 3.7680, 3.7680, 7.3488 Å; angles 90.00, 90.00, 120.00 degrees
Atoms (fractional coordinates):
Pa 0.0000 0.0000 0.0000
Nb 0.0000 0.0000 0.5000
Co 0.3333 0.6667 0.7612
Co 0.6667 0.3333 0.2388
P 0.3333 0.6667 0.2826
P 0.6667 0.3333 0.7174

=====

VASP calculation (PBE-GGA) on a geometry-optimized NdAgHg3 structure.

Summary:
**Crystal system**: monoclinic
**Energy relative to the elements**: -0.26 eV per atom
**DOS(E_F)**: 0.5014 states/eV/atom
**VASP energy**: -1.966 eV/atom
**Symmetry**: P2_1/m
**Energy above the lowest structure with this stoichiometry**: 0 meV per atom

Cell lengths 5.1591, 5.2086, 9.3192 Å; angles 90.00, 105.94, 90.00 degrees
Atoms (fractional coordinates):
Nd 0.1490 0.2500 0.3017
Nd 0.8510 0.7500 0.6983
Ag 0.3438 0.2500 0.6876
Ag 0.6562 0.7500 0.3124
Hg 0.0495 0.7500 0.0995
Hg 0.2496 0.7500 0.4977
Hg 0.4518 0.7500 0.9003
Hg 0.5482 0.2500 0.0997
Hg 0.7504 0.2500 0.5023
Hg 0.9505 0.2500 0.9005

=====

VASP calculation (PBE-GGA) on a geometry-optimized Rb3Ga4Bi4 structure.

Summary:
**Crystal system**: orthorhombic
**Energy relative to the elements**: -0.15 eV per atom
**DOS(E_F)**: 0.4038 states/eV/atom
**VASP energy**: -2.928 eV/atom
**Symmetry**: Immm

Cell lengths 15.6160, 15.6160, 15.6160 Å; angles 162.63, 159.51, 26.99 degrees
Atoms (fractional coordinates):
Rb 0.0000 0.0000 0.0000
Rb 0.1437 0.6437 0.5000
Rb 0.8563 0.3563 0.5000
Ga 0.3066 0.8066 0.5000
Ga 0.4584 0.4584 0.0000
Ga 0.5416 0.5416 0.0000
Ga 0.6934 0.1934 0.5000
Bi 0.2475 0.2475 0.0000
Bi 0.4087 0.9087 0.5000
Bi 0.5913 0.0913 0.5000
Bi 0.7525 0.7525 0.0000

=====

VASP calculation (PBE-GGA) on a geometry-optimized Ba2ZnCdPb6 structure.

Summary:
**Crystal system**: trigonal
**Energy relative to the elements**: -0.17 eV per atom
**DOS(E_F)**: 0.5907 states/eV/atom
**VASP energy**: -3.002 eV/atom
**Symmetry**: R-3m

Cell lengths 14.0996, 14.0996, 14.0996 Å; angles 31.87, 31.87, 31.87 degrees
Atoms (fractional coordinates):
Ba 0.1215 0.1215 0.1215
Ba 0.2992 0.2992 0.2992
Ba 0.7008 0.7008 0.7008
Ba 0.8785 0.8785 0.8785
Zn 0.4331 0.4331 0.4331
Zn 0.5669 0.5669 0.5669
Cd 0.0000 0.0000 0.0000
Cd 0.5000 0.5000 0.5000
Pb 0.0625 0.6510 0.6510
Pb 0.2342 0.2342 0.6738
Pb 0.2342 0.6738 0.2342
Pb 0.3262 0.7658 0.7658
Pb 0.3490 0.3490 0.9375
Pb 0.3490 0.9375 0.3490
Pb 0.6510 0.0625 0.6510
Pb 0.6510 0.6510 0.0625
Pb 0.6738 0.2342 0.2342
Pb 0.7658 0.3262 0.7658
Pb 0.7658 0.7658 0.3262
Pb 0.9375 0.3490 0.3490

=====

VASP calculation (PBE-GGA) on a geometry-optimized CaPuAu2 structure.

Summary:
**Crystal system**: tetragonal
**Energy relative to the elements**: -0.59 eV per atom
**DOS(E_F)**: 2.6136 states/eV/atom
**VASP energy**: -6.312 eV/atom
**Symmetry**: P4/mmm

Cell lengths 3.5643, 3.5643, 7.5809 Å; angles 90.00, 90.00, 90.00 degrees
Atoms (fractional coordinates):
Ca 0.0000 0.0000 0.0000
Pu 0.0000 0.0000 0.5000
Au 0.5000 0.5000 0.2498
Au 0.5000 0.5000 0.7502

=====

VASP calculation (PBE-GGA) on a geometry-optimized MgZrPa2 structure.

Summary:
**Crystal system**: tetragonal
**Energy relative to the elements**: 0.17 eV per atom
**DOS(E_F)**: 1.7784 states/eV/atom
**VASP energy**: -7.111 eV/atom
**Symmetry**: P4/mmm
**Energy above the lowest structure with this stoichiometry**: 0 meV per atom

Cell lengths 4.3784, 4.3784, 4.9502 Å; angles 90.00, 90.00, 90.00 degrees
Atoms (fractional coordinates):
Mg 0.0000 0.0000 0.0000
Zr 0.5000 0.5000 0.0000
Pa 0.0000 0.5000 0.5000
Pa 0.5000 0.0000 0.5000

=====

VASP calculation (PBE-GGA) on a geometry-optimized CoTcNiI2 structure.

Summary:
**Crystal system**: tetragonal
**DOS(E_F)**: 1.5877 states/eV/atom
**VASP energy**: -3.854 eV/atom
**Symmetry**: P4/mmm

Cell lengths 5.0580, 5.0580, 4.7958 Å; angles 90.00, 90.00, 90.00 degrees
Atoms (fractional coordinates):
Co 0.0000 0.0000 0.0000
Tc 0.5000 0.5000 0.0000
Ni 0.5000 0.5000 0.5000
I 0.0000 0.5000 0.5000
I 0.5000 0.0000 0.5000

=====

VASP calculation (PBE-GGA) on a geometry-optimized UTl3Bi3Te8 structure.

Summary:
**Crystal system**: trigonal
**DOS(E_F)**: 0.6876 states/eV/atom
**VASP energy**: -4.039 eV/atom
**Symmetry**: R-3m

Cell lengths 9.6313, 9.6313, 9.6313 Å; angles 55.97, 55.97, 55.97 degrees
Atoms (fractional coordinates):
U 0.0000 0.0000 0.0000
Tl 0.0000 0.0000 0.5000
Tl 0.0000 0.5000 0.0000
Tl 0.5000 0.0000 0.0000
Bi 0.0000 0.5000 0.5000
Bi 0.5000 0.0000 0.5000
Bi 0.5000 0.5000 0.0000
Te 0.2349 0.2349 0.7473
Te 0.2349 0.7473 0.2349
Te 0.2527 0.7651 0.7651
Te 0.2593 0.2593 0.2593
Te 0.7407 0.7407 0.7407
Te 0.7473 0.2349 0.2349
Te 0.7651 0.2527 0.7651
Te 0.7651 0.7651 0.2527

=====

VASP calculation (PBE-GGA) on a geometry-optimized SmSc2As3 structure.

Summary:
**Crystal system**: orthorhombic
**Energy relative to the elements**: -1.39 eV per atom
**DOS(E_F)**: 0.1869 states/eV/atom
**VASP energy**: -6.607 eV/atom
**Symmetry**: Immm

Cell lengths 3.9940, 5.6967, 11.9559 Å; angles 90.00, 90.00, 90.00 degrees
Atoms (fractional coordinates):
Sm 0.0000 0.0000 0.0000
Sm 0.5000 0.5000 0.5000
Sc 0.0000 0.0000 0.3357
Sc 0.0000 0.0000 0.6643
Sc 0.5000 0.5000 0.1643
Sc 0.5000 0.5000 0.8357
As 0.0000 0.5000 0.0000
As 0.0000 0.5000 0.3218
As 0.0000 0.5000 0.6782
As 0.5000 0.0000 0.1782
As 0.5000 0.0000 0.5000
As 0.5000 0.0000 0.8218

=====

VASP calculation (PBE-GGA) on a geometry-optimized La12Y5Tm2 structure.

Summary:
**Crystal system**: orthorhombic
**Energy relative to the elements**: 0.09 eV per atom
**DOS(E_F)**: 1.4491 states/eV/atom
**VASP energy**: -5.189 eV/atom
**Symmetry**: Immm
**Energy above the lowest structure with this stoichiometry**: 0 meV per atom

Cell lengths 13.5030, 13.5030, 13.5030 Å; angles 157.33, 133.91, 51.96 degrees
Atoms (fractional coordinates):
La 0.0488 0.8053 0.2435
La 0.0847 0.0847 0.0000
La 0.1501 0.4077 0.7423
La 0.3346 0.5923 0.7423
La 0.3983 0.8983 0.5000
La 0.4382 0.1947 0.2435
La 0.5618 0.8053 0.7565
La 0.6017 0.1017 0.5000
La 0.6654 0.4077 0.2577
La 0.8499 0.5923 0.2577
La 0.9153 0.9153 0.0000
La 0.9512 0.1947 0.7565
Y 0.1985 0.6985 0.5000
Y 0.3010 0.3010 0.0000
Y 0.5000 0.5000 0.0000
Y 0.6990 0.6990 0.0000
Y 0.8015 0.3015 0.5000
Tm 0.2817 0.0000 0.2817
Tm 0.7183 0.0000 0.7183

=====

VASP calculation (PBE-GGA) on a geometry-optimized Tl2WBr structure.

Summary:
**Crystal system**: trigonal
**DOS(E_F)**: 0.9416 states/eV/atom
**VASP energy**: -4.019 eV/atom
**Symmetry**: R-3m
**Energy above the lowest structure with this stoichiometry**: 336 meV per atom

Cell lengths 3.1475, 3.1475, 32.7123 Å; angles 90.00, 90.00, 120.00 degrees
Atoms (fractional coordinates):
Tl 0.0000 0.0000 0.2437
Tl 0.0000 0.0000 0.7563
Tl 0.3333 0.6667 0.4230
Tl 0.3333 0.6667 0.9103
Tl 0.6667 0.3333 0.0897
Tl 0.6667 0.3333 0.5770
W 0.0000 0.0000 0.5000
W 0.3333 0.6667 0.1667
W 0.6667 0.3333 0.8333
Br 0.0000 0.0000 0.0000
Br 0.3333 0.6667 0.6667
Br 0.6667 0.3333 0.3333

=====

VASP calculation (PBE-GGA) on a geometry-optimized PmZn3CuAg structure.

Summary:
**Crystal system**: orthorhombic
**Energy relative to the elements**: -0.05 eV per atom
**DOS(E_F)**: 0.4133 states/eV/atom
**VASP energy**: -2.636 eV/atom
**Symmetry**: Cmcm

Cell lengths 7.1285, 7.1285, 5.6446 Å; angles 90.00, 90.00, 126.50 degrees
Atoms (fractional coordinates):
Pm 0.2072 0.7928 0.7500
Pm 0.7928 0.2072 0.2500
Zn 0.1912 0.1912 0.0000
Zn 0.1912 0.1912 0.5000
Zn 0.3496 0.6504 0.2500
Zn 0.6504 0.3496 0.7500
Zn 0.8088 0.8088 0.0000
Zn 0.8088 0.8088 0.5000
Cu 0.1452 0.8548 0.2500
Cu 0.8548 0.1452 0.7500
Ag 0.4320 0.5680 0.7500
Ag 0.5680 0.4320 0.2500

=====

VASP calculation (PBE-GGA) on a geometry-optimized SmHgSb structure.

Summary:
**Crystal system**: trigonal
**DOS(E_F)**: 0.0984 states/eV/atom
**VASP energy**: -3.658 eV/atom
**Symmetry**: P3m1
**Energy above the lowest structure with this stoichiometry**: 0 meV per atom

Cell lengths 4.7150, 4.7150, 4.4343 Å; angles 90.00, 90.00, 120.00 degrees
Atoms (fractional coordinates):
Sm 0.0000 0.0000 0.0000
Hg 0.6667 0.3333 0.6899
Sb 0.3333 0.6667 0.4047

=====

VASP calculation (PBE-GGA) on a geometry-optimized Te2PAu structure.

Summary:
**Crystal system**: trigonal
**DOS(E_F)**: 0.6601 states/eV/atom
**VASP energy**: -3.196 eV/atom
**Symmetry**: R-3m

Cell lengths 3.1468, 3.1468, 33.0737 Å; angles 90.00, 90.00, 120.00 degrees
Atoms (fractional coordinates):
Te 0.0000 0.0000 0.0838
Te 0.0000 0.0000 0.9162
Te 0.3333 0.6667 0.5828
Te 0.3333 0.6667 0.7505
Te 0.6667 0.3333 0.2495
Te 0.6667 0.3333 0.4172
P 0.0000 0.0000 0.0000
P 0.3333 0.6667 0.6667
P 0.6667 0.3333 0.3333
Au 0.0000 0.0000 0.5000
Au 0.3333 0.6667 0.1667
Au 0.6667 0.3333 0.8333